Zn2SbTe | PBE | relaxed

Results
* E_tot: -2.3376 eV/atom
* formation energy from raw total energies: 0.115 eV/atom
* V: 189 Å³/cell

Structure (CIF):
```
data_Zn2SbTe
_cell_length_a 3.9075
_cell_length_b 3.9727
_cell_length_c 12.1922
_cell_angle_alpha 90.00
_cell_angle_beta 90.00
_cell_angle_gamma 90.00
_symmetry_space_group_name_H-M 'I m m 2'
_symmetry_Int_Tables_number 44
_symmetry_space_group_name_Hall 'I 2 -2'
loop_
_atom_site_label
_atom_site_type_symbol
_atom_site_fract_x
_atom_site_fract_y
_atom_site_fract_z
_atom_site_occupancy
Zn1 Zn 0.0000 0.0000 0.0000 1
Zn2 Zn 0.0000 0.5000 0.1554 1
Sb1 Sb 0.0000 0.0000 0.4409 1
Te1 Te 0.0000 0.5000 0.7294 1
```


ZnCoIr2 | PBE | relaxed

Results
* E_tot: -6.0144 eV/atom
* formation enthalpy at 0 K: 0.511 eV per atom
* V: 245 Å³/cell

Structure (CIF):
```
data_ZnCoIr2
_cell_length_a 7.0237
_cell_length_b 7.0237
_cell_length_c 4.9624
_cell_angle_alpha 90.00
_cell_angle_beta 90.00
_cell_angle_gamma 90.00
_symmetry_space_group_name_H-M 'I -4 2 d'
_symmetry_Int_Tables_number 122
_symmetry_space_group_name_Hall 'I -4 2bw'
loop_
_atom_site_label
_atom_site_type_symbol
_atom_site_fract_x
_atom_site_fract_y
_atom_site_fract_z
_atom_site_occupancy
Zn1 Zn 0.0000 0.0000 0.0000 1
Co1 Co 0.0000 0.0000 0.5000 1
Ir1 Ir 0.2061 0.2500 0.6250 1
```


CaAcDy | PBE | relaxed

Results
* E_tot: -3.5054 eV/atom
* formation enthalpy at 0 K: 0.065 eV per atom
* V: 235 Å³/cell

Structure (CIF):
```
data_CaAcDy
_cell_length_a 3.8431
_cell_length_b 3.8431
_cell_length_c 15.9046
_cell_angle_alpha 90.00
_cell_angle_beta 90.00
_cell_angle_gamma 90.00
_symmetry_space_group_name_H-M 'I 4 m m'
_symmetry_Int_Tables_number 107
_symmetry_space_group_name_Hall 'I 4 -2'
loop_
_atom_site_label
_atom_site_type_symbol
_atom_site_fract_x
_atom_site_fract_y
_atom_site_fract_z
_atom_site_occupancy
Ca1 Ca 0.0000 0.0000 0.0000 1
Ac1 Ac 0.0000 0.0000 0.6834 1
Dy1 Dy 0.0000 0.0000 0.3371 1
```


GaFeNi | PBE | relaxed

Results
* E_tot: -5.8944 eV/atom
* formation enthalpy at 0 K: -0.137 eV per atom
* V: 147 Å³/cell

Structure (CIF):
```
data_GaFeNi
_cell_length_a 4.2521
_cell_length_b 4.5021
_cell_length_c 7.6810
_cell_angle_alpha 90.00
_cell_angle_beta 90.00
_cell_angle_gamma 90.00
_symmetry_space_group_name_H-M 'A m a 2'
_symmetry_Int_Tables_number 40
_symmetry_space_group_name_Hall 'A 2 -2a'
loop_
_atom_site_label
_atom_site_type_symbol
_atom_site_fract_x
_atom_site_fract_y
_atom_site_fract_z
_atom_site_occupancy
Ga1 Ga 0.2500 0.1819 0.0000 1
Fe1 Fe 0.2500 0.1637 0.6692 1
Ni1 Ni 0.2500 0.1708 0.3360 1
```


ScPCl2O | PBE | relaxed

Results
* E_tot: -4.3079 eV/atom
* formation energy from raw total energies: -0.229 eV/atom
* V: 129 Å³/cell

Structure (CIF):
```
data_ScPCl2O
_cell_length_a 4.8602
_cell_length_b 4.8602
_cell_length_c 5.4662
_cell_angle_alpha 90.00
_cell_angle_beta 90.00
_cell_angle_gamma 90.00
_symmetry_space_group_name_H-M 'P 4/m m m'
_symmetry_Int_Tables_number 123
_symmetry_space_group_name_Hall '-P 4 2'
loop_
_atom_site_label
_atom_site_type_symbol
_atom_site_fract_x
_atom_site_fract_y
_atom_site_fract_z
_atom_site_occupancy
Sc1 Sc 0.0000 0.0000 0.0000 1
P1 P 0.0000 0.0000 0.5000 1
Cl1 Cl 0.0000 0.5000 0.0000 1
O1 O 0.5000 0.5000 0.5000 1
```


Sc2AlTe | PBE | relaxed

Results
* E_tot: -5.4366 eV/atom
* formation energy from raw total energies: -0.550 eV/atom
* V: 87 Å³/cell

Structure (CIF):
```
data_Sc2AlTe
_cell_length_a 3.6544
_cell_length_b 3.6544
_cell_length_c 6.5487
_cell_angle_alpha 90.00
_cell_angle_beta 90.00
_cell_angle_gamma 90.00
_symmetry_space_group_name_H-M 'P 4/m m m'
_symmetry_Int_Tables_number 123
_symmetry_space_group_name_Hall '-P 4 2'
loop_
_atom_site_label
_atom_site_type_symbol
_atom_site_fract_x
_atom_site_fract_y
_atom_site_fract_z
_atom_site_occupancy
Sc1 Sc 0.0000 0.0000 0.2436 1
Al1 Al 0.5000 0.5000 0.0000 1
Te1 Te 0.5000 0.5000 0.5000 1
```


DyTmIrRu | PBE | relaxed

Results
* E_tot: -7.4625 eV/atom
* formation enthalpy at 0 K: -0.660 eV per atom
* V: 311 Å³/cell

Structure (CIF):
```
data_DyTmIrRu
_cell_length_a 6.7756
_cell_length_b 6.7756
_cell_length_c 6.7756
_cell_angle_alpha 90.00
_cell_angle_beta 90.00
_cell_angle_gamma 90.00
_symmetry_space_group_name_H-M 'F -4 3 m'
_symmetry_Int_Tables_number 216
_symmetry_space_group_name_Hall 'F -4 2 3'
loop_
_atom_site_label
_atom_site_type_symbol
_atom_site_fract_x
_atom_site_fract_y
_atom_site_fract_z
_atom_site_occupancy
Dy1 Dy 0.0000 0.0000 0.0000 1
Tm1 Tm 0.0000 0.0000 0.5000 1
Ir1 Ir 0.2500 0.2500 0.7500 1
Ru1 Ru 0.2500 0.2500 0.2500 1
```


CsBaAsF6 | PBE | relaxed

Results
* E_tot: -4.8729 eV/atom
* formation energy from raw total energies: -2.800 eV/atom
* V: 217 Å³/cell

Structure (CIF):
```
data_CsBaAsF6
_cell_length_a 5.9632
_cell_length_b 6.4676
_cell_length_c 6.4802
_cell_angle_alpha 60.07
_cell_angle_beta 89.92
_cell_angle_gamma 89.84
_symmetry_space_group_name_H-M 'P 1'
_symmetry_Int_Tables_number 1
_symmetry_space_group_name_Hall 'P 1'
loop_
_atom_site_label
_atom_site_type_symbol
_atom_site_fract_x
_atom_site_fract_y
_atom_site_fract_z
_atom_site_occupancy
Cs1 Cs 0.0000 0.0000 0.0000 1
Ba1 Ba 0.5001 0.3335 0.3330 1
As1 As 0.4995 0.6662 0.6675 1
F1 F 0.3044 0.4035 0.9434 1
F2 F 0.3047 0.9426 0.6531 1
F3 F 0.3059 0.6544 0.4062 1
F4 F 0.6933 0.9379 0.4072 1
F5 F 0.6945 0.4054 0.6535 1
F6 F 0.6948 0.6535 0.9419 1
```


K2OsPt2 | PBE | relaxed

Results
* E_tot: -4.7503 eV/atom
* formation enthalpy at 0 K: 0.351 eV per atom
* V: 236 Å³/cell

Structure (CIF):
```
data_K2OsPt2
_cell_length_a 6.5151
_cell_length_b 6.5151
_cell_length_c 5.5547
_cell_angle_alpha 90.00
_cell_angle_beta 90.00
_cell_angle_gamma 90.00
_symmetry_space_group_name_H-M 'P 4/m b m'
_symmetry_Int_Tables_number 127
_symmetry_space_group_name_Hall '-P 4 2ab'
loop_
_atom_site_label
_atom_site_type_symbol
_atom_site_fract_x
_atom_site_fract_y
_atom_site_fract_z
_atom_site_occupancy
K1 K 0.1794 0.3206 0.0000 1
Os1 Os 0.0000 0.0000 0.5000 1
Pt1 Pt 0.1407 0.6407 0.5000 1
```


GaHO | PBE | relaxed

Results
* E_tot: -4.7005 eV/atom
* V: 42 Å³/cell

Structure (CIF):
```
data_GaHO
_cell_length_a 3.1028
_cell_length_b 3.1034
_cell_length_c 5.3271
_cell_angle_alpha 75.35
_cell_angle_beta 74.82
_cell_angle_gamma 60.02
_symmetry_space_group_name_H-M 'P 1'
_symmetry_Int_Tables_number 1
_symmetry_space_group_name_Hall 'P 1'
loop_
_atom_site_label
_atom_site_type_symbol
_atom_site_fract_x
_atom_site_fract_y
_atom_site_fract_z
_atom_site_occupancy
Ga1 Ga 0.0000 0.0000 0.0000 1
H1 H 0.9052 0.9143 0.3054 1
O1 O 0.3762 0.3719 0.8617 1
```


BaCr2Te4 | PBE | relaxed

Results
* E_tot: -4.5946 eV/atom
* formation energy from raw total energies: 0.225 eV/atom
* V: 591 Å³/cell

Structure (CIF):
```
data_BaCr2Te4
_cell_length_a 6.3106
_cell_length_b 6.3106
_cell_length_c 14.8382
_cell_angle_alpha 90.00
_cell_angle_beta 90.00
_cell_angle_gamma 90.00
_symmetry_space_group_name_H-M 'I 4/m m m'
_symmetry_Int_Tables_number 139
_symmetry_space_group_name_Hall '-I 4 2'
loop_
_atom_site_label
_atom_site_type_symbol
_atom_site_fract_x
_atom_site_fract_y
_atom_site_fract_z
_atom_site_occupancy
Ba1 Ba 0.0000 0.0000 0.0000 1
Cr1 Cr 0.0000 0.0000 0.4098 1
Te1 Te 0.0000 0.0000 0.2431 1
Te2 Te 0.0000 0.5000 0.0000 1
```


RbNaBr2 | PBE | relaxed

Results
* E_tot: -2.8737 eV/atom
* formation energy from raw total energies: -1.466 eV/atom
* V: 630 Å³/cell

Structure (CIF):
```
data_RbNaBr2
_cell_length_a 5.1995
_cell_length_b 5.1995
_cell_length_c 26.8917
_cell_angle_alpha 90.00
_cell_angle_beta 90.00
_cell_angle_gamma 120.00
_symmetry_space_group_name_H-M 'R -3 m'
_symmetry_Int_Tables_number 166
_symmetry_space_group_name_Hall '-R 3 2"'
loop_
_atom_site_label
_atom_site_type_symbol
_atom_site_fract_x
_atom_site_fract_y
_atom_site_fract_z
_atom_site_occupancy
Rb1 Rb 0.0000 0.0000 0.0000 1
Na1 Na 0.0000 0.0000 0.5000 1
Br1 Br 0.0000 0.0000 0.4014 1
```


KPrBr2 | PBE | relaxed

Results
* E_tot: -3.5512 eV/atom
* formation energy from raw total energies: -1.246 eV/atom
* V: 444 Å³/cell

Structure (CIF):
```
data_KPrBr2
_cell_length_a 3.9856
_cell_length_b 3.9856
_cell_length_c 32.2818
_cell_angle_alpha 90.00
_cell_angle_beta 90.00
_cell_angle_gamma 120.00
_symmetry_space_group_name_H-M 'R -3 m'
_symmetry_Int_Tables_number 166
_symmetry_space_group_name_Hall '-R 3 2"'
loop_
_atom_site_label
_atom_site_type_symbol
_atom_site_fract_x
_atom_site_fract_y
_atom_site_fract_z
_atom_site_occupancy
K1 K 0.0000 0.0000 0.0000 1
Pr1 Pr 0.0000 0.0000 0.5000 1
Br1 Br 0.0000 0.0000 0.1028 1
```


AcNd2Se | PBE | relaxed

Results
* E_tot: -5.1090 eV/atom
* formation energy from raw total energies: -0.827 eV/atom
* V: 416 Å³/cell

Structure (CIF):
```
data_AcNd2Se
_cell_length_a 4.0198
_cell_length_b 4.0198
_cell_length_c 29.7006
_cell_angle_alpha 90.00
_cell_angle_beta 90.00
_cell_angle_gamma 120.00
_symmetry_space_group_name_H-M 'R 3 m'
_symmetry_Int_Tables_number 160
_symmetry_space_group_name_Hall 'R 3 -2"'
loop_
_atom_site_label
_atom_site_type_symbol
_atom_site_fract_x
_atom_site_fract_y
_atom_site_fract_z
_atom_site_occupancy
Ac1 Ac 0.0000 0.0000 0.0000 1
Nd1 Nd 0.0000 0.0000 0.5619 1
Nd2 Nd 0.0000 0.0000 0.7718 1
Se1 Se 0.0000 0.0000 0.1670 1
```


Ni2AgPd | PBE | relaxed

Results
* E_tot: -4.7393 eV/atom
* formation enthalpy at 0 K: 0.162 eV per atom
* V: 55 Å³/cell

Structure (CIF):
```
data_Ni2AgPd
_cell_length_a 2.7489
_cell_length_b 2.7489
_cell_length_c 7.3412
_cell_angle_alpha 90.00
_cell_angle_beta 90.00
_cell_angle_gamma 90.00
_symmetry_space_group_name_H-M 'P 4/m m m'
_symmetry_Int_Tables_number 123
_symmetry_space_group_name_Hall '-P 4 2'
loop_
_atom_site_label
_atom_site_type_symbol
_atom_site_fract_x
_atom_site_fract_y
_atom_site_fract_z
_atom_site_occupancy
Ni1 Ni 0.0000 0.0000 0.2371 1
Ag1 Ag 0.5000 0.5000 0.5000 1
Pd1 Pd 0.5000 0.5000 0.0000 1
```


SrTe2Pd | PBE | relaxed

Results
* E_tot: -3.8021 eV/atom
* formation energy from raw total energies: -0.513 eV/atom
* V: 432 Å³/cell

Structure (CIF):
```
data_SrTe2Pd
_cell_length_a 7.5568
_cell_length_b 7.5568
_cell_length_c 7.5568
_cell_angle_alpha 90.00
_cell_angle_beta 90.00
_cell_angle_gamma 90.00
_symmetry_space_group_name_H-M 'F m -3 m'
_symmetry_Int_Tables_number 225
_symmetry_space_group_name_Hall '-F 4 2 3'
loop_
_atom_site_label
_atom_site_type_symbol
_atom_site_fract_x
_atom_site_fract_y
_atom_site_fract_z
_atom_site_occupancy
Sr1 Sr 0.0000 0.0000 0.0000 1
Te1 Te 0.2500 0.2500 0.2500 1
Pd1 Pd 0.0000 0.0000 0.5000 1
```


RbTl2CdAg | PBE | relaxed

Results
* E_tot: -1.8172 eV/atom
* formation enthalpy at 0 K: 0.076 eV per atom
* V: 177 Å³/cell

Structure (CIF):
```
data_RbTl2CdAg
_cell_length_a 5.6531
_cell_length_b 5.6531
_cell_length_c 5.5297
_cell_angle_alpha 90.00
_cell_angle_beta 90.00
_cell_angle_gamma 90.00
_symmetry_space_group_name_H-M 'P 4/m m m'
_symmetry_Int_Tables_number 123
_symmetry_space_group_name_Hall '-P 4 2'
loop_
_atom_site_label
_atom_site_type_symbol
_atom_site_fract_x
_atom_site_fract_y
_atom_site_fract_z
_atom_site_occupancy
Rb1 Rb 0.0000 0.0000 0.0000 1
Tl1 Tl 0.0000 0.5000 0.5000 1
Cd1 Cd 0.5000 0.5000 0.0000 1
Ag1 Ag 0.5000 0.5000 0.5000 1
```


PmLuNiPd | PBE | relaxed

Results
* E_tot: -5.6473 eV/atom
* formation enthalpy at 0 K: -0.586 eV per atom
* V: 333 Å³/cell

Structure (CIF):
```
data_PmLuNiPd
_cell_length_a 6.9336
_cell_length_b 6.9336
_cell_length_c 6.9336
_cell_angle_alpha 90.00
_cell_angle_beta 90.00
_cell_angle_gamma 90.00
_symmetry_space_group_name_H-M 'F -4 3 m'
_symmetry_Int_Tables_number 216
_symmetry_space_group_name_Hall 'F -4 2 3'
loop_
_atom_site_label
_atom_site_type_symbol
_atom_site_fract_x
_atom_site_fract_y
_atom_site_fract_z
_atom_site_occupancy
Pm1 Pm 0.0000 0.0000 0.0000 1
Lu1 Lu 0.0000 0.0000 0.5000 1
Ni1 Ni 0.2500 0.2500 0.2500 1
Pd1 Pd 0.2500 0.2500 0.7500 1
```


GaTcRu2 | PBE | relaxed

Results
* E_tot: -8.1193 eV/atom
* formation enthalpy at 0 K: -0.133 eV per atom
* V: 56 Å³/cell

Structure (CIF):
```
data_GaTcRu2
_cell_length_a 2.8692
_cell_length_b 2.8692
_cell_length_c 6.8443
_cell_angle_alpha 90.00
_cell_angle_beta 90.00
_cell_angle_gamma 90.00
_symmetry_space_group_name_H-M 'P 4/m m m'
_symmetry_Int_Tables_number 123
_symmetry_space_group_name_Hall '-P 4 2'
loop_
_atom_site_label
_atom_site_type_symbol
_atom_site_fract_x
_atom_site_fract_y
_atom_site_fract_z
_atom_site_occupancy
Ga1 Ga 0.0000 0.0000 0.0000 1
Tc1 Tc 0.0000 0.0000 0.5000 1
Ru1 Ru 0.5000 0.5000 0.2429 1
```


CrCd2As | PBE | relaxed

Results
* E_tot: -3.7452 eV/atom
* formation enthalpy at 0 K: 0.281 eV per atom
* V: 81 Å³/cell

Structure (CIF):
```
data_CrCd2As
_cell_length_a 3.1418
_cell_length_b 5.3849
_cell_length_c 4.8109
_cell_angle_alpha 90.00
_cell_angle_beta 91.23
_cell_angle_gamma 90.00
_symmetry_space_group_name_H-M 'P 1 2/m 1'
_symmetry_Int_Tables_number 10
_symmetry_space_group_name_Hall '-P 2y'
loop_
_atom_site_label
_atom_site_type_symbol
_atom_site_fract_x
_atom_site_fract_y
_atom_site_fract_z
_atom_site_occupancy
Cr1 Cr 0.0000 0.0000 0.0000 1
Cd1 Cd 0.2588 0.5000 0.2480 1
As1 As 0.5000 0.0000 0.5000 1
```